First-principles (GGA-PBE) data for an optimized crystal structure of InPt8Rh2, as listed in the Alexandria database.

Summary:
* DFT total energy: -65.158 eV per cell
* symmetry: No. 65
* total moment: 0.000 Bohr magnetons per cell

The structure in POSCAR format:
```
InPt8Rh2
1.0
4.1266 -0.0909 0.0538
0.1096 7.3085 3.8085
-0.0620 1.1712 6.6726
Pt Rh In
8 2 1
direct
0.5000 0.3063 0.7298
0.5000 0.6875 0.2702
0.0000 0.7505 0.4929
0.5000 0.9577 0.7298
0.0000 0.2434 0.5071
0.5000 0.0361 0.2702
0.9999 0.3298 0.0000
0.0001 0.6641 0.0000
0.5000 0.6151 0.7637
0.5000 0.3788 0.2363
0.0000 0.9969 0.0000
```